# 1
Dy2MgPa | PBE | relaxed

abc: 3.404 3.404 9.531
angles: 90.00 90.00 90.00
Fractional coordinates of all 4 atoms:
Pa 0.500 0.500 0.500
Dy 0.000 0.000 0.250
Mg 0.500 0.500 0.000
Dy 0.000 0.000 0.750

E_form   0.05 eV per atom
Space group   P4/mmm
VASP energy   -20.09 eV per cell

***

# 2
Ac3La2Tl4Ag2 | PBE | relaxed

abc: 5.146 5.146 16.027
angles: 90.00 90.00 120.00
Fractional coordinates of all 11 atoms:
Ac 0.000 0.000 0.240
Tl 0.667 0.333 0.121
Ag 0.667 0.333 0.877
Tl 0.333 0.667 0.352
Ag 0.333 0.667 0.123
Ac 0.000 0.000 0.760
Ac 0.000 0.000 0.000
La 0.333 0.667 0.569
Tl 0.333 0.667 0.879
La 0.667 0.333 0.431
Tl 0.667 0.333 0.648

E_form   -0.21 eV per atom
Space group   P-3m1
VASP energy   -39.69 eV per cell

***

# 3
La4Pm2In | PBE | relaxed

abc: 6.956 6.956 10.598
angles: 90.00 90.00 104.01
Fractional coordinates of all 14 atoms:
In 0.500 0.500 0.250
La 0.190 0.189 0.500
La 0.500 0.000 0.750
La 0.000 0.500 0.750
La 0.811 0.810 0.000
La 0.500 0.000 0.250
La 0.000 0.500 0.250
Pm 0.690 0.308 0.000
Pm 0.308 0.690 0.500
La 0.810 0.811 0.500
La 0.189 0.190 0.000
In 0.500 0.500 0.750
Pm 0.692 0.310 0.500
Pm 0.310 0.692 0.000

E_form   0.00 eV per atom
Space group   Cccm
VASP energy   -63.94 eV per cell

***

# 4
Ac6CoPb2N | PBE | relaxed

abc: 7.691 7.691 13.760
angles: 73.77 73.77 60.00
Fractional coordinates of all 20 atoms:
Ac 0.624 0.624 0.628
Co 0.500 0.500 0.500
Ac 0.786 0.786 0.129
Ac 0.875 0.376 0.372
Pb 0.293 0.293 0.122
Ac 0.702 0.214 0.871
N 0.588 0.588 0.235
Ac 0.214 0.702 0.871
Pb 0.876 0.876 0.373
Pb 0.707 0.707 0.878
Ac 0.376 0.376 0.372
Ac 0.624 0.125 0.628
N 0.412 0.412 0.765
Ac 0.214 0.214 0.871
Ac 0.125 0.624 0.628
Ac 0.298 0.786 0.129
Pb 0.124 0.124 0.627
Ac 0.786 0.298 0.129
Co 0.000 0.000 0.000
Ac 0.376 0.875 0.372

Formation energy (no corrections)   -0.4064 eV per atom
Space group   R-3m
VASP energy   -103.13 eV per cell

***

# 5
ZrBeCl2 | PBE | relaxed

abc: 4.958 4.958 4.958
angles: 130.76 130.76 72.20
Fractional coordinates of all 4 atoms:
Cl 0.000 0.000 0.000
Cl 0.500 0.500 0.000
Zr 0.250 0.750 0.500
Be 0.750 0.250 0.500

Formation energy (no corrections)   -0.1404 eV per atom
Space group   I4/mmm
VASP energy   -16.53 eV per cell

***

# 6
Mg2OsCl | PBE | relaxed

abc: 5.008 2.842 5.008
angles: 90.05 90.00 90.00
Fractional coordinates of all 4 atoms:
Mg 0.500 0.075 0.374
Mg 0.000 0.075 0.876
Os 0.000 0.564 0.376
Cl 0.500 0.786 0.874

Formation energy (no corrections)   -0.0026 eV per atom
Space group   Pm
VASP energy   -16.28 eV per cell

***

# 7
LiSn2Os | PBE | relaxed

abc: 7.797 7.797 6.250
angles: 51.41 51.41 90.00
Fractional coordinates of all 8 atoms:
Os 0.750 0.250 0.500
Sn 0.375 0.331 0.750
Sn 0.875 0.919 0.750
Li 0.250 0.750 0.500
Sn 0.669 0.125 0.250
Sn 0.081 0.625 0.250
Li 0.500 0.500 0.000
Os 0.000 0.000 0.000

E_form   0.45 eV per atom
Space group   I-42d
VASP energy   -38.71 eV per cell

***

# 8
Ca3Pr12N5 | PBE | relaxed

abc: 14.636 14.636 14.636
angles: 109.47 109.47 109.47
Fractional coordinates of all 80 atoms:
Pr 0.400 0.404 0.591
Pr 0.190 0.100 0.003
N 0.875 0.625 0.750
Pr 0.003 0.600 0.190
Pr 0.997 0.400 0.810
Pr 0.313 0.904 0.003
Pr 0.591 0.904 0.400
Ca 0.625 0.250 0.375
Pr 0.687 0.591 0.190
N 0.500 0.500 0.000
Ca 0.375 0.750 0.625
N 0.750 0.625 0.375
Pr 0.904 0.591 0.900
N 0.625 0.750 0.875
Pr 0.810 0.900 0.997
Pr 0.813 0.310 0.909
Pr 0.503 0.690 0.100
Pr 0.187 0.497 0.596
Pr 0.310 0.497 0.400
N 0.375 0.250 0.125
Pr 0.497 0.310 0.900
Pr 0.600 0.003 0.690
N 0.125 0.375 0.250
Pr 0.503 0.813 0.904
Pr 0.596 0.600 0.909
Pr 0.687 0.096 0.997
Ca 0.250 0.125 0.375
Ca 0.125 0.250 0.875
Ca 0.875 0.125 0.250
N 0.500 0.000 0.000
Pr 0.100 0.909 0.096
Pr 0.409 0.313 0.310
N 0.250 0.875 0.125
Pr 0.404 0.400 0.091
Ca 0.875 0.750 0.125
Pr 0.091 0.900 0.404
Pr 0.313 0.409 0.810
Ca 0.750 0.375 0.125
Pr 0.997 0.596 0.687
N 0.000 0.500 0.500
Pr 0.096 0.409 0.100
Pr 0.100 0.190 0.503
Pr 0.409 0.096 0.600
Pr 0.190 0.091 0.687
Pr 0.003 0.404 0.313
Pr 0.591 0.687 0.690
Pr 0.690 0.187 0.591
Pr 0.813 0.503 0.404
Pr 0.909 0.810 0.813
Ca 0.125 0.875 0.750
Pr 0.900 0.810 0.497
N 0.875 0.250 0.625
Pr 0.091 0.190 0.187
Pr 0.310 0.813 0.409
N 0.375 0.125 0.750
Pr 0.900 0.091 0.904
N 0.625 0.875 0.250
Pr 0.904 0.313 0.503
N 0.125 0.750 0.375
Pr 0.400 0.997 0.310
Pr 0.404 0.003 0.813
N 0.000 0.000 0.000
Pr 0.690 0.503 0.600
Pr 0.596 0.997 0.187
Pr 0.810 0.909 0.313
Ca 0.625 0.375 0.750
Pr 0.497 0.187 0.096
N 0.750 0.125 0.875
N 0.500 0.500 0.500
Ca 0.250 0.625 0.875
Ca 0.375 0.625 0.250
N 0.500 0.000 0.500
N 0.000 0.000 0.500
Ca 0.750 0.875 0.625
Pr 0.096 0.687 0.497
N 0.250 0.375 0.625
Pr 0.187 0.690 0.091
Pr 0.909 0.100 0.596
Pr 0.600 0.596 0.409
N 0.000 0.500 0.000

Formation energy (no corrections)   -0.3575 eV per atom
Space group   Ia-3d
VASP energy   -448.54 eV per cell

***

# 9
Ho6TlAu5 | PBE | relaxed

abc: 5.107 8.855 8.855
angles: 119.80 106.79 106.79
Fractional coordinates of all 12 atoms:
Au 0.000 0.667 0.333
Au 0.500 0.840 0.160
Ho 0.238 0.737 0.737
Au 0.500 0.160 0.840
Ho 0.256 0.427 0.085
Tl 0.000 0.000 0.000
Ho 0.744 0.915 0.573
Ho 0.744 0.573 0.915
Ho 0.256 0.085 0.427
Ho 0.762 0.263 0.263
Au 0.000 0.333 0.667
Au 0.500 0.500 0.500

E_form   -0.77 eV per atom
Space group   C2/m
VASP energy   -55.48 eV per cell

***

# 10
InGaCl2F | PBE | relaxed

abc: 5.276 5.276 4.162
angles: 90.00 90.00 90.00
Fractional coordinates of all 5 atoms:
Cl 0.000 0.500 0.000
In 0.500 0.500 0.500
F 0.000 0.000 0.500
Ga 0.000 0.000 0.000
Cl 0.500 0.000 0.000

Formation energy (no corrections)   -1.1814 eV per atom
Space group   P4/mmm
VASP energy   -17.24 eV per cell

***

# 11
OsS2F | PBE | relaxed

abc: 4.126 4.126 4.126
angles: 60.00 60.00 60.00
Fractional coordinates of all 4 atoms:
Os 0.500 0.500 0.500
S 0.750 0.750 0.750
S 0.250 0.250 0.250
F 0.000 0.000 0.000

Formation energy (no corrections)   -0.0072 eV per atom
Space group   Fm-3m
VASP energy   -21.38 eV per cell

***

# 12
CsNbAs2Br | PBE | relaxed

abc: 5.697 5.697 6.114
angles: 90.00 90.00 90.00
Fractional coordinates of all 5 atoms:
Nb 0.500 0.500 0.500
Br 0.000 0.000 0.500
Cs 0.000 0.000 0.000
As 0.000 0.500 0.000
As 0.500 0.000 0.000

Formation energy (no corrections)   1.7684 eV per atom
Space group   P4/mmm
VASP energy   -13.05 eV per cell